Below is LaFeNi2 after structural relaxation, with properties calculated at the GGA-PBE level.

Cell lengths 3.0733, 3.0733, 6.8512 Å; angles 90.00, 90.00, 90.00 degrees
Last column: nearest neighbours and their distance in Å.
Positions (direct):
Fe 0.5000 0.5000 0.2500  8 Ni 2.50
La 0.5000 0.5000 0.7500  4 La 3.07, 8 Ni 3.08, 2 Fe 3.43
Ni 0.0000 0.0000 0.0694  1 Ni 2.47, 4 Fe 2.50
Ni 0.0000 0.0000 0.4306  1 Ni 2.47, 4 Fe 2.50

Calculated total energy in eV/atom: -6.193
SG: P4/mmm (123)
ΔE_f in eV per atom: 0.045

=====

Below is LaFeNi after structural relaxation, with properties calculated at the GGA-PBE level.

Cell lengths 4.5086, 4.5086, 4.5086 Å; angles 60.00, 60.00, 60.00 degrees
Last column: nearest neighbours and their distance in Å.
Positions (direct):
Fe 0.0000 0.0000 0.0000  4 Ni 2.76
La 0.5000 0.5000 0.5000  4 Ni 2.76
Ni 0.2500 0.2500 0.2500  4 Fe 2.76, 4 La 2.76

Calculated total energy in eV/atom: -6.079
SG: F-43m (216)
ΔE_f in eV per atom: 0.312

=====

Below is La2FeNi2 after structural relaxation, with properties calculated at the GGA-PBE level.

Cell lengths 3.4207, 3.4207, 8.7113 Å; angles 78.68, 78.68, 90.00 degrees
Last column: nearest neighbours and their distance in Å.
Positions (direct):
Ni 0.7500 0.2500 0.5000  4 Ni 2.42
Ni 0.2500 0.7500 0.5000  4 Ni 2.42
Fe 0.0000 0.0000 0.0000  8 La 2.98
La 0.3964 0.3964 0.2071  4 Fe 2.98, 4 Ni 2.99
La 0.6036 0.6036 0.7929  4 Fe 2.98, 4 Ni 2.99

Calculated total energy in eV/atom: -5.826
SG: I4/mmm (139)
ΔE_f in eV per atom: 0.150

=====

Below is LaFe4Ni after structural relaxation, with properties calculated at the GGA-PBE level.

Cell lengths 5.0351, 5.0351, 5.0351 Å; angles 60.00, 60.00, 60.00 degrees
Last column: nearest neighbours and their distance in Å.
Positions (direct):
La 0.7500 0.7500 0.7500  12 Fe 2.95, 4 Ni 3.08
Fe 0.8788 0.3737 0.3737  6 Fe 2.49-2.54
Fe 0.3737 0.3737 0.8788  6 Fe 2.49-2.54
Fe 0.3737 0.8788 0.3737  6 Fe 2.49-2.54
Fe 0.3737 0.3737 0.3737  6 Fe 2.49-2.54
Ni 0.0000 0.0000 0.0000  12 Fe 2.95, 4 La 3.08

Calculated total energy in eV/atom: -7.246
SG: F-43m (216)
ΔE_f in eV per atom: 0.181

=====

Below is La2FeNi after structural relaxation, with properties calculated at the GGA-PBE level.

Cell lengths 4.8618, 4.8618, 4.8618 Å; angles 60.00, 60.00, 60.00 degrees
Last column: nearest neighbours and their distance in Å.
Positions (direct):
Fe 0.5000 0.5000 0.5000  4 La 2.98, 4 Ni 2.98
La 0.0000 0.0000 0.0000  4 Ni 2.98, 4 La 2.98
La 0.2500 0.2500 0.2500  4 La 2.98, 4 Fe 2.98
Ni 0.7500 0.7500 0.7500  4 La 2.98, 4 Fe 2.98

Calculated total energy in eV/atom: -5.806
SG: F-43m (216)
Relative energy among the computed polymorphs in eV/atom: 0.2669
ΔE_f in eV per atom: 0.219

=====

Below is La2FeNi after structural relaxation, with properties calculated at the GGA-PBE level.

Cell lengths 4.5046, 3.6967, 5.6943 Å; angles 90.00, 90.00, 90.00 degrees
Last column: nearest neighbours and their distance in Å.
Positions (direct):
Fe 0.5000 0.5000 0.8737  6 La 2.84-2.91
La 0.0000 0.0000 0.8758  2 Ni 2.85, 4 Fe 2.91
La 0.5000 0.5000 0.3744  2 Fe 2.84-2.85, 4 Ni 2.91
Ni 0.0000 0.0000 0.3761  6 La 2.85-2.91

Calculated total energy in eV/atom: -5.844
SG: Pmm2 (25)
Relative energy among the computed polymorphs in eV/atom: 0.2292
ΔE_f in eV per atom: 0.181

=====

Below is LaFe2Ni after structural relaxation, with properties calculated at the GGA-PBE level.

Cell lengths 3.8073, 3.3072, 5.8762 Å; angles 73.70, 90.00, 90.00 degrees
Last column: nearest neighbours and their distance in Å.
Positions (direct):
Fe 0.0000 0.7901 0.0460  2 Ni 2.40, 4 Fe 2.56
Fe 0.5000 0.2529 0.1203  2 Ni 2.50-2.51, 4 Fe 2.56
La 0.0000 0.5383 0.5471  1 Fe 2.83, 4 Ni 2.86
Ni 0.5000 0.9187 0.7866  4 Fe 2.40-2.51

Calculated total energy in eV/atom: -6.689
SG: Amm2 (38)
ΔE_f in eV per atom: 0.220

=====

Below is LaFe2Ni2 after structural relaxation, with properties calculated at the GGA-PBE level.

Cell lengths 4.0043, 4.0043, 5.8618 Å; angles 70.03, 70.03, 90.00 degrees
Last column: nearest neighbours and their distance in Å.
Positions (direct):
Ni 0.3794 0.3794 0.2412  4 Fe 2.40, 1 Ni 2.48
Ni 0.6206 0.6206 0.7588  4 Fe 2.40, 1 Ni 2.48
Fe 0.7500 0.2500 0.5000  4 Ni 2.40
Fe 0.2500 0.7500 0.5000  4 Ni 2.40
La 0.0000 0.0000 0.0000  8 Ni 3.09, 8 Fe 3.25

Calculated total energy in eV/atom: -6.705
SG: I4/mmm (139)
Relative energy among the computed polymorphs in eV/atom: 0.0000
ΔE_f in eV per atom: -0.022

=====

Below is LaFe2Ni after structural relaxation, with properties calculated at the GGA-PBE level.

Cell lengths 4.0705, 4.0705, 5.4940 Å; angles 68.22, 68.22, 60.00 degrees
Last column: nearest neighbours and their distance in Å.
Positions (direct):
Fe 0.0034 0.0034 0.9901  3 Fe 2.37, 3 Ni 2.39
Fe 0.6881 0.6881 0.9360  3 Fe 2.37, 3 Ni 2.45
La 0.4996 0.4996 0.5006  1 Fe 2.80, 1 Ni 2.84
Ni 0.3089 0.3089 0.0734  6 Fe 2.39-2.45

Calculated total energy in eV/atom: -6.895
SG: R3m (160)
ΔE_f in eV per atom: 0.014

=====

Below is LaFe2Ni after structural relaxation, with properties calculated at the GGA-PBE level.

Cell lengths 3.0994, 3.0997, 6.8730 Å; angles 90.00, 90.00, 90.00 degrees
Last column: nearest neighbours and their distance in Å.
Positions (direct):
Fe 0.0000 0.0000 0.9998  4 Fe 2.51, 4 Ni 2.52
Fe 0.5000 0.5000 0.1780  1 Ni 2.47, 4 Fe 2.51
La 0.0000 0.0000 0.5042  4 Ni 3.08, 4 La 3.10, 5 Fe 3.13-3.41
Ni 0.5000 0.5000 0.8181  5 Fe 2.47-2.52

Calculated total energy in eV/atom: -6.715
SG: P4mm (99)
ΔE_f in eV per atom: 0.193

=====

Below is LaFeNi2 after structural relaxation, with properties calculated at the GGA-PBE level.

Cell lengths 4.5833, 4.5833, 4.5833 Å; angles 60.00, 60.00, 60.00 degrees
Last column: nearest neighbours and their distance in Å.
Positions (direct):
Ni 0.2500 0.2500 0.2500  4 La 2.81, 4 Fe 2.81
Ni 0.7500 0.7500 0.7500  4 La 2.81, 4 Fe 2.81
Fe 0.0000 0.0000 0.0000  8 Ni 2.81
La 0.5000 0.5000 0.5000  8 Ni 2.81

Calculated total energy in eV/atom: -6.021
SG: Fm-3m (225)
ΔE_f in eV per atom: 0.218

=====

Below is La2FeNi after structural relaxation, with properties calculated at the GGA-PBE level.

Cell lengths 3.3328, 3.3328, 8.3439 Å; angles 90.00, 90.00, 90.00 degrees
Last column: nearest neighbours and their distance in Å.
Positions (direct):
Fe 0.5000 0.5000 0.6761  4 Ni 2.53
La 0.0000 0.0000 0.9253  1 Ni 3.00, 4 Fe 3.14, 4 La 3.33
La 0.5000 0.5000 0.3333  1 Fe 2.86, 4 Ni 3.05
Ni 0.0000 0.0000 0.5653  4 Fe 2.53

Calculated total energy in eV/atom: -5.887
SG: P4mm (99)
Relative energy among the computed polymorphs in eV/atom: 0.1856
ΔE_f in eV per atom: 0.138

=====

Below is LaFe2Ni after structural relaxation, with properties calculated at the GGA-PBE level.

Cell lengths 4.1260, 4.1260, 5.4894 Å; angles 67.77, 67.77, 60.04 degrees
Last column: nearest neighbours and their distance in Å.
Positions (direct):
Fe 0.9398 0.9398 0.1805  3 Ni 2.41, 3 Fe 2.48
Fe 0.5602 0.5602 0.3195  3 Ni 2.41, 3 Fe 2.48
La 0.7500 0.7500 0.7500  2 Fe 2.81
Ni 0.2500 0.2500 0.2500  6 Fe 2.41

Calculated total energy in eV/atom: -6.879
SG: C2/m (12)
ΔE_f in eV per atom: 0.029